[1]
The following is a DFT calculation (GGA-PBE) of crystalline Nd6OsRh2Br3 at its relaxed geometry.

The structure in extended XYZ format:
```
12
Lattice="3.566 -6.177 0.000 3.566 6.177 0.000 -2.374 0.000 7.860" Properties=species:S:1:pos:R:3 pbc="T T T"
Nd 1.171 2.029 1.546
Nd -0.033 0.000 6.311
Nd 1.171 -2.029 1.546
Nd 3.587 2.029 6.314
Nd 4.791 0.000 1.549
Nd 3.587 -2.029 6.314
Os 0.000 0.000 0.000
Rh 3.566 2.059 0.000
Rh 3.566 -2.059 0.000
Br 2.379 4.138 3.930
Br 2.379 0.000 3.930
Br 2.379 -4.138 3.930
```

Fermi-level density of states ... 4.1 states/eV/f.u.
Raw formation energy ... -0.947 eV per atom
Total magnetization ... 0.000 μB per formula unit

[2]
The following is a DFT calculation (GGA-PBE) of crystalline Pr2MgPt at its relaxed geometry.

The structure in extended XYZ format:
```
4
Lattice="0.000 3.743 3.743 3.743 0.000 3.743 3.743 3.743 0.000" Properties=species:S:1:pos:R:3 pbc="T T T"
Pr 1.871 1.871 1.871
Pr 5.614 5.614 5.614
Mg 0.000 0.000 0.000
Pt 3.743 3.743 3.743
```

Fermi-level density of states ... 4.1 states/eV/f.u.
Total magnetization ... 0.000 μB per formula unit
DFT formation energy ... -1.86 eV/f.u.

[3]
The following is a DFT calculation (GGA-PBE) of crystalline HgBr6Cl2 at its relaxed geometry.

The structure in extended XYZ format:
```
9
Lattice="4.357 0.000 0.000 0.280 9.202 0.000 0.258 2.606 9.884" Properties=species:S:1:pos:R:3 pbc="T T T"
Hg 0.000 0.000 0.000
Br 0.461 4.417 2.405
Br 0.774 7.423 5.112
Br 1.483 7.366 2.713
Br 3.413 4.442 7.171
Br 4.122 4.385 4.772
Br 4.435 7.391 7.478
Cl 2.003 10.391 8.771
Cl 2.893 1.416 1.112
```

Raw formation energy ... -0.088 eV per atom
Total magnetization ... 0.000 μB per formula unit

[4]
The following is a DFT calculation (GGA-PBE) of crystalline Os2RuRh at its relaxed geometry.

The structure in extended XYZ format:
```
4
Lattice="2.708 0.000 0.000 0.000 2.708 0.000 0.000 0.000 7.741" Properties=species:S:1:pos:R:3 pbc="T T T"
Os 0.000 0.000 1.913
Os 0.000 0.000 5.828
Ru 1.354 1.354 0.000
Rh 1.354 1.354 3.870
```

Fermi-level density of states ... 4.3 states/eV/f.u.
Total magnetization ... 0.000 μB per formula unit
DFT formation energy ... 0.46 eV/f.u.

[5]
The following is a DFT calculation (GGA-PBE) of crystalline Na2ZnPS4 at its relaxed geometry.

The structure in extended XYZ format:
```
16
Lattice="8.074 0.000 0.000 0.000 7.686 0.000 0.000 0.000 6.132" Properties=species:S:1:pos:R:3 pbc="T T T"
Na 1.930 1.250 0.000
Na 2.107 6.436 3.066
Na 5.967 6.436 3.066
Na 6.144 1.250 0.000
Zn 0.000 2.772 3.168
Zn 4.037 4.914 0.102
P 0.000 5.139 0.175
P 4.037 2.547 3.241
S 0.000 3.202 5.549
S 0.000 4.933 2.259
S 1.998 1.558 2.814
S 2.039 6.128 5.880
S 4.037 2.753 5.325
S 4.037 4.484 2.483
S 6.035 6.128 5.880
S 6.076 1.558 2.814
```

Fermi-level density of states ... 2.7 states/eV/f.u.
Raw formation energy ... -0.622 eV per atom
Total magnetization ... 0.000 μB per formula unit

[6]
The following is a DFT calculation (GGA-PBE) of crystalline K2YPd3F12 at its relaxed geometry.

The structure in extended XYZ format:
```
18
Lattice="3.846 2.221 6.152 -3.846 2.221 6.152 0.000 -4.441 6.152" Properties=species:S:1:pos:R:3 pbc="T T T"
K 0.000 0.000 2.334
K 0.000 0.000 16.121
Y 0.000 0.000 9.228
Pd -1.923 -1.110 6.152
Pd -1.923 1.110 12.303
Pd 0.000 2.221 6.152
F -1.820 -1.051 8.361
F 0.000 -1.832 6.497
F -1.587 0.916 6.497
F -1.587 -0.916 11.958
F 0.000 -2.101 10.094
F -1.820 1.051 10.094
F 1.820 -1.051 8.361
F 0.000 2.101 8.361
F 1.587 0.916 6.497
F 1.587 -0.916 11.958
F 0.000 1.832 11.958
F 1.820 1.051 10.094
```

Fermi-level density of states ... 1.9 states/eV/f.u.
Raw formation energy ... -2.138 eV per atom
Total magnetization ... 5.089 μB per formula unit